Record 1
# Nd4Pu2Bi3N2 (PBE, optimized geometry)
data_Nd4Pu2Bi3N2
_symmetry_space_group_name_H-M 'I 4/m m m'
_symmetry_Int_Tables_number 139
_symmetry_space_group_name_Hall '-I 4 2'
_cell_length_a 4.885
_cell_length_b 4.885
_cell_length_c 26.142
_cell_angle_alpha 90.00
_cell_angle_beta 90.00
_cell_angle_gamma 90.00
loop_
_atom_site_label
_atom_site_type_symbol
_atom_site_fract_x
_atom_site_fract_y
_atom_site_fract_z
_atom_site_occupancy
Nd1 Nd 0.000 0.500 0.086 1
Pu1 Pu 0.000 0.000 0.191 1
Bi1 Bi 0.000 0.000 0.319 1
Bi2 Bi 0.000 0.000 0.500 1
N1 N 0.000 0.000 0.108 1
# Total moment = 10.95 μB per formula unit
# Uncorrected formation energy = -0.86 eV per atom

=====

Record 2
# TaOsAu (PBE, optimized geometry)
data_TaOsAu
_symmetry_space_group_name_H-M 'C 1 2/m 1'
_symmetry_Int_Tables_number 12
_cell_length_a 4.262
_cell_length_b 4.255
_cell_length_c 11.306
_cell_angle_alpha 90.00
_cell_angle_beta 90.03
_cell_angle_gamma 90.00
loop_
_symmetry_equiv_pos_as_xyz
'x,y,z'
'-x,-y,-z'
'-x,y,-z'
'x,-y,z'
'x+1/2,y+1/2,z'
'-x+1/2,-y+1/2,-z'
'-x+1/2,y+1/2,-z'
'x+1/2,-y+1/2,z'
loop_
_atom_site_label
_atom_site_type_symbol
_atom_site_fract_x
_atom_site_fract_y
_atom_site_fract_z
_atom_site_occupancy
Ta1 Ta 0.249 0.000 0.274 1
Os1 Os 0.250 0.000 0.585 1
Au1 Au 0.249 0.500 0.093 1
# Total moment = 0.00 μB per formula unit
# Energy relative to the lowest polymorph listed for this composition = 0.029 eV/atom
# ΔE_f = 0.0034 eV/atom